A plane-wave DFT calculation with PBE was carried out for crystalline Y2PtRh at its relaxed geometry.

a = 3.461 Å, b = 3.461 Å, c = 8.522 Å
α = 66.05°, β = 66.05°, γ = 90.00°
Fractional positions:
Y (0.994, 0.994, 0.005)
Y (0.506, 0.506, 0.495)
Pt (0.750, 0.750, 0.750)
Rh (0.250, 0.250, 0.250)


A plane-wave DFT calculation with PBE was carried out for crystalline YPt3Rh at its relaxed geometry.

Output
Relative energy among the computed polymorphs, eV/atom: 0.830

a = 4.840 Å, b = 4.840 Å, c = 4.840 Å
α = 90.00°, β = 90.00°, γ = 90.00°
Site moments in Bohr magnetons follow the coordinates.
Fractional positions:
Rh (0.000, 0.000, 0.000)  1.03
Pt (0.500, 0.000, 0.000)  0.11
Pt (0.000, 0.500, 0.000)  0.24
Y (0.500, 0.500, 0.500)  0.00
Pt (0.000, 0.000, 0.500)  0.56


no.,spin magnetization (μB/f.u.),ΔE_f (meV per atom)
1,0.0,-1026
2,2.0,326